1.
! FeSiW PBE relaxed; values from VASP
&SYSTEM
  ibrav = 0, nat = 3, ntyp = 3
/
ATOMIC_SPECIES
Fe 55.84 Fe.upf
Si 28.09 Si.upf
W 183.84 W.upf
CELL_PARAMETERS angstrom
2.756 0.000 0.000
-1.378 2.387 0.000
0.000 0.000 6.111
ATOMIC_POSITIONS crystal
Fe 0.000 0.000 0.000
Si 0.667 0.333 0.297
W 0.333 0.667 0.657
! energy above the lowest structure with this stoichiometry: 0.382 eV per atom
! E_form (uncorrected): 0.0734 eV/atom
! SG: P3m1

---

2.
! BaHg2Pd4 PBE relaxed; values from VASP
&SYSTEM
  ibrav = 0, nat = 7, ntyp = 3
/
ATOMIC_SPECIES
Ba 137.33 Ba.upf
Hg 200.59 Hg.upf
Pd 106.42 Pd.upf
CELL_PARAMETERS angstrom
-4.012 4.012 3.085
4.012 -4.012 3.085
4.012 4.012 -3.085
ATOMIC_POSITIONS crystal
Ba 0.000 0.000 0.000
Hg 0.250 0.750 0.500
Hg 0.750 0.250 0.500
Pd 0.274 0.500 0.774
Pd 0.500 0.274 0.774
Pd 0.500 0.726 0.226
Pd 0.726 0.500 0.226
! ΔE_f: 0.040 eV/atom
! SG: I4/mmm

---

3.
! ZnAg12Au6 PBE relaxed; values from VASP
&SYSTEM
  ibrav = 0, nat = 19, ntyp = 3
/
ATOMIC_SPECIES
Zn 65.41 Zn.upf
Ag 107.87 Ag.upf
Au 196.97 Au.upf
CELL_PARAMETERS angstrom
4.966 2.867 4.081
-4.966 2.867 4.081
0.000 -5.735 4.081
ATOMIC_POSITIONS crystal
Zn 0.000 0.000 0.000
Ag 0.043 0.373 0.155
Ag 0.155 0.043 0.373
Ag 0.200 0.559 0.475
Ag 0.373 0.155 0.043
Ag 0.441 0.525 0.800
Ag 0.475 0.200 0.559
Ag 0.525 0.800 0.441
Ag 0.559 0.475 0.200
Ag 0.627 0.845 0.957
Ag 0.800 0.441 0.525
Ag 0.845 0.957 0.627
Ag 0.957 0.627 0.845
Au 0.115 0.266 0.737
Au 0.263 0.885 0.734
Au 0.266 0.737 0.115
Au 0.734 0.263 0.885
Au 0.737 0.115 0.266
Au 0.885 0.734 0.263
! ΔE_f: 0.000 eV/atom
! energy above the lowest structure with this stoichiometry: 0.000 eV per atom
! SG: R-3

---

4.
! Dy5Er3Th3 PBE relaxed; values from VASP
&SYSTEM
  ibrav = 0, nat = 11, ntyp = 3
/
ATOMIC_SPECIES
Dy 162.50 Dy.upf
Er 167.26 Er.upf
Th 232.04 Th.upf
CELL_PARAMETERS angstrom
6.033 -8.532 0.000
6.033 8.532 0.000
-1.077 0.000 3.448
ATOMIC_POSITIONS crystal
Dy 0.000 0.000 0.000
Dy 0.056 0.456 0.256
Dy 0.344 0.676 0.010
Dy 0.456 0.056 0.256
Dy 0.676 0.344 0.010
Er 0.504 0.504 0.502
Er 0.644 0.874 0.759
Er 0.874 0.644 0.759
Th 0.170 0.836 0.503
Th 0.251 0.251 0.750
Th 0.836 0.170 0.503
! ΔE_f: 0.133 eV/atom
! energy above the lowest structure with this stoichiometry: 0.000 eV per atom
! SG: Cm

---

5.
! ThP2Ir PBE relaxed; values from VASP
&SYSTEM
  ibrav = 0, nat = 4, ntyp = 3
/
ATOMIC_SPECIES
Th 232.04 Th.upf
P 30.97 P.upf
Ir 192.22 Ir.upf
CELL_PARAMETERS angstrom
2.002 1.156 5.271
-2.002 1.156 5.271
0.000 -2.312 5.271
ATOMIC_POSITIONS crystal
Th 0.000 0.000 0.000
P 0.224 0.224 0.224
P 0.776 0.776 0.776
Ir 0.500 0.500 0.500
! ΔE_f: -0.965 eV/atom
! energy above the lowest structure with this stoichiometry: 0.092 eV per atom
! SG: R-3m

---

6.
! Li3PrAg4 PBE relaxed; values from VASP
&SYSTEM
  ibrav = 0, nat = 8, ntyp = 3
/
ATOMIC_SPECIES
Li 6.94 Li.upf
Pr 140.91 Pr.upf
Ag 107.87 Ag.upf
CELL_PARAMETERS angstrom
2.293 1.324 8.638
-2.293 1.324 8.638
0.000 -2.648 8.638
ATOMIC_POSITIONS crystal
Li 0.000 0.000 0.000
Li 0.263 0.263 0.263
Li 0.737 0.737 0.737
Pr 0.500 0.500 0.500
Ag 0.100 0.100 0.100
Ag 0.373 0.373 0.373
Ag 0.627 0.627 0.627
Ag 0.900 0.900 0.900
! ΔE_f: -0.202 eV/atom
! SG: R-3m

---

7.
! Pm7Ni2Ir2 PBE relaxed; values from VASP
&SYSTEM
  ibrav = 0, nat = 11, ntyp = 3
/
ATOMIC_SPECIES
Pm 145.00 Pm.upf
Ni 58.69 Ni.upf
Ir 192.22 Ir.upf
CELL_PARAMETERS angstrom
3.793 -5.508 0.000
3.793 5.508 0.000
0.000 0.000 6.882
ATOMIC_POSITIONS crystal
Pm 0.000 0.000 0.000
Pm 0.000 0.500 0.270
Pm 0.000 0.500 0.730
Pm 0.500 0.000 0.270
Pm 0.500 0.000 0.730
Pm 0.500 0.500 0.258
Pm 0.500 0.500 0.742
Ni 0.288 0.712 0.000
Ni 0.712 0.288 0.000
Ir 0.180 0.180 0.500
Ir 0.820 0.820 0.500
! ΔE_f: -0.198 eV/atom
! SG: Cmmm

---

8.
! La5Pm2Pr12 PBE relaxed; values from VASP
&SYSTEM
  ibrav = 0, nat = 19, ntyp = 3
/
ATOMIC_SPECIES
La 138.91 La.upf
Pm 145.00 Pm.upf
Pr 140.91 Pr.upf
CELL_PARAMETERS angstrom
9.493 -3.656 0.000
9.493 3.656 0.000
-3.757 0.000 10.011
ATOMIC_POSITIONS crystal
La 0.000 0.000 0.000
La 0.187 0.187 0.690
La 0.327 0.327 0.286
La 0.673 0.673 0.714
La 0.813 0.813 0.310
Pm 0.281 0.719 0.500
Pm 0.719 0.281 0.500
Pr 0.028 0.028 0.743
Pr 0.087 0.580 0.972
Pr 0.087 0.594 0.628
Pr 0.406 0.913 0.372
Pr 0.420 0.913 0.028
Pr 0.498 0.498 0.827
Pr 0.502 0.502 0.173
Pr 0.580 0.087 0.972
Pr 0.594 0.087 0.628
Pr 0.913 0.406 0.372
Pr 0.913 0.420 0.028
Pr 0.972 0.972 0.257
! ΔE_f: 0.145 eV/atom
! energy above the lowest structure with this stoichiometry: 0.051 eV per atom
! SG: C2/m

---

9.
! TlSbTe2 PBE relaxed; values from VASP
&SYSTEM
  ibrav = 0, nat = 4, ntyp = 3
/
ATOMIC_SPECIES
Tl 204.38 Tl.upf
Sb 121.76 Sb.upf
Te 127.60 Te.upf
CELL_PARAMETERS angstrom
2.228 1.286 7.793
-2.228 1.286 7.793
0.000 -2.573 7.793
ATOMIC_POSITIONS crystal
Tl 0.000 0.000 0.000
Sb 0.235 0.235 0.235
Te 0.501 0.501 0.501
Te 0.739 0.739 0.739
! energy above the lowest structure with this stoichiometry: 0.174 eV per atom
! E_form (uncorrected): -0.0557 eV/atom
! SG: R3m

---

10.
! Nd2Zn2Cd PBE relaxed; values from VASP
&SYSTEM
  ibrav = 0, nat = 10, ntyp = 3
/
ATOMIC_SPECIES
Nd 144.24 Nd.upf
Zn 65.41 Zn.upf
Cd 112.41 Cd.upf
CELL_PARAMETERS angstrom
7.403 0.000 0.000
0.000 7.403 0.000
0.000 0.000 4.514
ATOMIC_POSITIONS crystal
Nd 0.170 0.330 0.000
Nd 0.330 0.830 0.000
Nd 0.670 0.170 0.000
Nd 0.830 0.670 0.000
Zn 0.126 0.626 0.500
Zn 0.374 0.126 0.500
Zn 0.626 0.874 0.500
Zn 0.874 0.374 0.500
Cd 0.000 0.000 0.500
Cd 0.500 0.500 0.500
! ΔE_f: -0.312 eV/atom
! energy above the lowest structure with this stoichiometry: 0.004 eV per atom
! SG: P4/mbm

---

11.
! PmPrNbN3 PBE relaxed; values from VASP
&SYSTEM
  ibrav = 0, nat = 12, ntyp = 4
/
ATOMIC_SPECIES
Pm 145.00 Pm.upf
Pr 140.91 Pr.upf
Nb 92.91 Nb.upf
N 14.01 N.upf
CELL_PARAMETERS angstrom
7.497 0.000 0.000
0.000 3.640 0.000
-1.102 0.000 8.262
ATOMIC_POSITIONS crystal
Pm 0.125 0.250 0.158
Pm 0.875 0.750 0.842
Pr 0.335 0.750 0.854
Pr 0.665 0.250 0.146
Nb 0.410 0.750 0.392
Nb 0.590 0.250 0.608
N 0.105 0.250 0.873
N 0.326 0.250 0.468
N 0.398 0.750 0.151
N 0.602 0.250 0.849
N 0.674 0.750 0.532
N 0.895 0.750 0.127
! E_form (uncorrected): -1.0084 eV/atom
! SG: P2_1/m

---

12.
! Ac2Ag12Pd5 PBE relaxed; values from VASP
&SYSTEM
  ibrav = 0, nat = 19, ntyp = 3
/
ATOMIC_SPECIES
Ac 227.00 Ac.upf
Ag 107.87 Ag.upf
Pd 106.42 Pd.upf
CELL_PARAMETERS angstrom
4.837 2.793 4.679
-4.837 2.793 4.679
0.000 -5.585 4.679
ATOMIC_POSITIONS crystal
Ac 0.187 0.187 0.187
Ac 0.813 0.813 0.813
Ag 0.151 0.151 0.655
Ag 0.151 0.655 0.151
Ag 0.207 0.500 0.793
Ag 0.207 0.793 0.500
Ag 0.345 0.849 0.849
Ag 0.500 0.207 0.793
Ag 0.500 0.793 0.207
Ag 0.655 0.151 0.151
Ag 0.793 0.207 0.500
Ag 0.793 0.500 0.207
Ag 0.849 0.345 0.849
Ag 0.849 0.849 0.345
Pd 0.000 0.500 0.500
Pd 0.399 0.399 0.399
Pd 0.500 0.000 0.500
Pd 0.500 0.500 0.000
Pd 0.601 0.601 0.601
! ΔE_f: -0.223 eV/atom
! SG: R-3m